[1]
Here is a relaxed structure of Y2Ge2PdRh5 from Alexandria. Energies are from PBE.

Results
DOS(E_F): 16.34 states/eV/cell
Total DFT energy (no corrections): -7.087 eV/atom

Lattice parameters (Å, degrees): 9.684 9.684 3.635 90.00 90.00 90.00
Space group P4/mbm (No. 127)
One atom of each set of equivalent atoms:
Y 0.175 0.325 0.000 [4 per cell]
Ge 0.125 0.625 0.000 [4 per cell]
Pd 0.000 0.000 0.000 [2 per cell]
Rh 0.000 0.500 0.500 [2 per cell]
Rh 0.067 0.792 0.500 [8 per cell]

***

[2]
Here is a relaxed structure of GePdRu from Alexandria. Energies are from PBE.

Results
DOS(E_F): 5.22 states/eV/cell
Total DFT energy (no corrections): -6.483 eV/atom
Energy relative to the lowest polymorph listed for this composition: 29 meV/atom

Lattice parameters (Å, degrees): 2.965 2.965 20.970 90.00 90.00 90.00
Space group I4/mmm (No. 139)
One atom of each set of equivalent atoms:
Ge 0.000 0.000 0.136 [4 per cell]
Pd 0.000 0.000 0.437 [4 per cell]
Ru 0.000 0.000 0.295 [4 per cell]

***

[3]
Here is a relaxed structure of Ge2PdRu2 from Alexandria. Energies are from PBE.

Results
DOS(E_F): 6.53 states/eV/cell
Total DFT energy (no corrections): -6.440 eV/atom

Lattice parameters (Å, degrees): 3.688 3.688 11.762 90.00 90.00 90.00
Space group I4/mmm (No. 139)
One atom of each set of equivalent atoms:
Ge 0.000 0.500 0.250 [4 per cell]
Pd 0.000 0.000 0.000 [2 per cell]
Ru 0.000 0.000 0.395 [4 per cell]

***

[4]
Here is a relaxed structure of Ge2PdRu from Alexandria. Energies are from PBE.

Results
DOS(E_F): 8.25 states/eV/cell
Total DFT energy (no corrections): -6.149 eV/atom
Energy relative to the lowest polymorph listed for this composition: 0 meV/atom

Lattice parameters (Å, degrees): 3.0441 3.0441 23.2454 90.00 90.00 120.00
Space group R3m (No. 160, hexagonal axes)
One atom of each set of equivalent atoms:
Ge 0.0000 0.0000 0.0000 [3 per cell]
Ge 0.0000 0.0000 0.1750 [3 per cell]
Pd 0.0000 0.0000 0.7513 [3 per cell]
Ru 0.0000 0.0000 0.5885 [3 per cell]

***

[5]
Here is a relaxed structure of Ge2PdRu from Alexandria. Energies are from PBE.

Results
DOS(E_F): 15.41 states/eV/cell
Total DFT energy (no corrections): -6.024 eV/atom
Energy relative to the lowest polymorph listed for this composition: 125 meV/atom

Lattice parameters (Å, degrees): 6.221 6.221 6.221 90.00 90.00 90.00
Space group Fm-3m (No. 225)
One atom of each set of equivalent atoms:
Ge 0.250 0.250 0.250 [8 per cell]
Pd 0.000 0.000 0.000 [4 per cell]
Ru 0.000 0.000 0.500 [4 per cell]

***

[6]
Here is a relaxed structure of GePdRu from Alexandria. Energies are from PBE.

Results
DOS(E_F): 8.62 states/eV/cell
Total DFT energy (no corrections): -6.513 eV/atom
Energy relative to the lowest polymorph listed for this composition: 0 meV/atom

Lattice parameters (Å, degrees): 5.803 5.803 5.803 90.00 90.00 90.00
Space group F-43m (No. 216)
One atom of each set of equivalent atoms:
Ge 0.000 0.000 0.000 [4 per cell]
Pd 0.250 0.250 0.750 [4 per cell]
Ru 0.250 0.250 0.250 [4 per cell]

***

Let's list energy of formation in order: -0.68; -0.12; 0.16; -0.22; -0.10; -0.15 eV per atom.